# RbSn

An optimized crystal structure of RbSn (PBE-GGA, the Alexandria database).

The structure in POSCAR format:
```
RbSn
1.0
5.877 0.000 0.000
0.000 13.773 0.000
0.000 0.000 6.647
Rb Sn
6 6
Direct
0.000 0.000 0.000
0.000 0.159 0.463
0.000 0.341 0.963
0.000 0.500 0.500
0.000 0.659 0.963
0.000 0.841 0.463
0.500 0.000 0.655
0.500 0.194 0.823
0.500 0.306 0.323
0.500 0.500 0.155
0.500 0.694 0.323
0.500 0.806 0.823
```

## Properties
magnetic moment: 0.0 Bohr magnetons per cell
electronic total energy: -0.0915 hartree per atom
crystal system: orthorhombic
energy of formation: -0.004 eV per atom
N(E_F): 0.76 states/eV/f.u.
space group: Amm2, No. 38
calculated density: 3.780 g/cm³